{"formula": "LiY2AuO5", "functional": "PBE", "state": "optimized geometry", "cell": [[-2.480, -3.924, 3.611], [2.950, -4.850, -3.244], [5.142, 0.444, 4.013]], "species": ["Y", "O", "O", "O", "Li", "Y", "O", "Li", "Y", "O", "O", "Au", "O", "O", "O", "Au", "Y", "O"], "frac_coords": [[0.500, 0.677, 0.177], [0.500, 0.500, 0.500], [0.500, 0.000, 0.000], [0.740, 0.138, 0.638], [0.000, 0.000, 0.000], [0.500, 0.823, 0.677], [0.260, 0.138, 0.638], [0.000, 0.500, 0.500], [0.500, 0.177, 0.323], [0.740, 0.862, 0.362], [0.260, 0.362, 0.138], [0.000, 0.500, 0.000], [0.740, 0.638, 0.862], [0.740, 0.362, 0.138], [0.260, 0.638, 0.862], [0.000, 0.000, 0.500], [0.500, 0.323, 0.823], [0.260, 0.862, 0.362]], "final_energy_ha_per_atom": -0.254, "e_form_raw_mev_per_atom": -2147}

{"formula": "Pr3Al", "functional": "PBE", "state": "optimized geometry", "cell": [[3.925, 0.000, 0.000], [0.000, 5.463, 0.000], [-1.962, -2.731, 5.924]], "species": ["Pr", "Pr", "Pr", "Al"], "frac_coords": [[0.287, 0.705, 0.575], [0.713, 0.131, 0.425], [0.500, 0.416, 0.000], [0.000, 0.915, 0.000]], "final_energy_ha_per_atom": -0.171, "relative_energy_mev_per_atom": 34.1, "ef_ev_per_atom": -0.14}

{"formula": "RbSb4", "functional": "PBE", "state": "optimized geometry", "cell": [[-0.537, 5.656, -1.611], [-5.819, -0.745, -0.677], [-0.851, 1.526, 5.641]], "species": ["Sb", "Rb", "Sb", "Sb", "Sb"], "frac_coords": [[0.500, 0.500, 0.000], [0.500, 0.500, 0.500], [0.500, 0.000, 0.500], [0.000, 0.000, 0.000], [0.000, 0.500, 0.500]], "final_energy_ha_per_atom": -0.072, "e_form_raw_mev_per_atom": 1531}

Number 1: magnetic moment 0.00 Bohr magnetons per cell. Number 2: magnetic moment 0.00 Bohr magnetons per cell. Number 3: magnetic moment 0.00 Bohr magnetons per cell.